# 1
Computed, not measured: a relaxed Er4Cu2Au crystal at the GGA-PBE level of DFT.

Computed properties:
- Total magnetic moment: 0.0 μB/cell
- E: -4.58 eV per atom

CIF file:
```
data_Er4Cu2Au
_chemical_formula_sum 'Er8 Cu4 Au2'
_space_group_name_H-M_alt 'P 1'
_space_group_IT_number 1
_space_group_name_Hall 'P 1'
_cell_length_a 7.075
_cell_length_b 7.384
_cell_length_c 7.386
_cell_angle_alpha 105.73
_cell_angle_beta 106.51
_cell_angle_gamma 107.43
loop_
_atom_site_label
_atom_site_fract_x
_atom_site_fract_y
_atom_site_fract_z
Er1 0.000 0.000 0.000
Er2 0.029 0.591 0.173
Er3 0.169 0.050 0.566
Er4 0.253 0.674 0.790
Er5 0.452 0.419 0.102
Er6 0.594 0.868 0.527
Er7 0.662 0.462 0.717
Er8 0.807 0.231 0.349
Cu1 0.372 0.950 0.202
Cu2 0.687 0.800 0.128
Cu3 0.862 0.662 0.492
Cu4 0.974 0.277 0.788
Au1 0.263 0.390 0.402
Au2 0.583 0.115 0.900
```

# 2
Computed, not measured: a relaxed KBeAu2 crystal at the GGA-PBE level of DFT.

Computed properties:
- Total magnetic moment: 0.0 μB/cell
- E: -2.83 eV per atom

CIF file:
```
data_KBeAu2
_chemical_formula_sum 'K2 Be2 Au4'
_space_group_name_H-M_alt 'I m m m'
_space_group_IT_number 71
_space_group_name_Hall '-I 2 2'
_cell_length_a 3.088
_cell_length_b 5.880
_cell_length_c 9.658
_cell_angle_alpha 90.00
_cell_angle_beta 90.00
_cell_angle_gamma 90.00
loop_
_atom_site_label
_atom_site_fract_x
_atom_site_fract_y
_atom_site_fract_z
K1 0.000 0.000 0.000
Be1 0.000 0.000 0.500
Au1 0.000 0.500 0.173
```

# 3
Computed, not measured: a relaxed BaTe5Pb2 crystal at the GGA-PBE level of DFT.

Computed properties:
- Total magnetic moment: 0.0 μB/cell
- Uncorrected formation energy: -0.485 eV/atom

CIF file:
```
data_BaTe5Pb2
_chemical_formula_sum 'Ba4 Te20 Pb8'
_space_group_name_H-M_alt 'C m c m'
_space_group_IT_number 63
_space_group_name_Hall '-C 2c 2'
_cell_length_a 4.548
_cell_length_b 12.913
_cell_length_c 19.931
_cell_angle_alpha 90.00
_cell_angle_beta 90.00
_cell_angle_gamma 90.00
loop_
_atom_site_label
_atom_site_fract_x
_atom_site_fract_y
_atom_site_fract_z
Ba1 0.000 0.061 0.250
Te1 0.000 0.150 0.076
Te2 0.000 0.230 0.750
Te3 0.000 0.489 0.106
Pb1 0.000 0.182 0.598
```

# 4
Computed, not measured: a relaxed CsBa2TlNi crystal at the GGA-PBE level of DFT.

Computed properties:
- Total magnetic moment: 0.0 μB/cell
- E: -2.53 eV per atom

CIF file:
```
data_CsBa2TlNi
_chemical_formula_sum 'Cs1 Ba2 Tl1 Ni1'
_space_group_name_H-M_alt 'P 4/m m m'
_space_group_IT_number 123
_space_group_name_Hall '-P 4 2'
_cell_length_a 6.226
_cell_length_b 6.226
_cell_length_c 5.313
_cell_angle_alpha 90.00
_cell_angle_beta 90.00
_cell_angle_gamma 90.00
loop_
_atom_site_label
_atom_site_fract_x
_atom_site_fract_y
_atom_site_fract_z
Cs1 0.000 0.000 0.000
Ba1 0.000 0.500 0.500
Tl1 0.500 0.500 0.000
Ni1 0.500 0.500 0.500
```

Copy entry 2 word for word.
Computed, not measured: a relaxed KBeAu2 crystal at the GGA-PBE level of DFT.

Computed properties:
- Total magnetic moment: 0.0 μB/cell
- E: -2.83 eV per atom

CIF file:
```
data_KBeAu2
_chemical_formula_sum 'K2 Be2 Au4'
_space_group_name_H-M_alt 'I m m m'
_space_group_IT_number 71
_space_group_name_Hall '-I 2 2'
_cell_length_a 3.088
_cell_length_b 5.880
_cell_length_c 9.658
_cell_angle_alpha 90.00
_cell_angle_beta 90.00
_cell_angle_gamma 90.00
loop_
_atom_site_label
_atom_site_fract_x
_atom_site_fract_y
_atom_site_fract_z
K1 0.000 0.000 0.000
Be1 0.000 0.000 0.500
Au1 0.000 0.500 0.173
```